[1]
Computed, not measured: a PBEsol-optimized structure of LaFeW2 at the meta-GGA SCAN level of DFT.

Summary:
energy of formation = 3.0 eV per formula unit
polymorph energy (0 for the lowest one) = 104 kJ/mol of formula units

```
4
Lattice="-1.3839 2.3278 5.4361 1.3839 -2.3278 5.4361 1.3839 2.3278 -5.4361" Properties=species:S:1:pos:R:3 pbc="T T T"
La 0.0000 0.0000 0.0000
Fe 0.0000 0.0000 5.4361
W 1.3839 0.0000 3.2269
W 0.0000 2.3278 2.2093
```


[2]
Computed, not measured: a PBEsol-optimized structure of NdCo3 at the meta-GGA SCAN level of DFT.

Summary:
energy of formation = 0.2 eV per formula unit

```
12
Lattice="2.4761 1.4296 8.1295 -2.4761 1.4296 8.1295 0.0000 -2.8591 8.1295" Properties=species:S:1:pos:R:3 pbc="T T T"
Nd 0.0000 0.0000 0.0000
Nd 0.0000 0.0000 3.4170
Nd 0.0000 0.0000 20.9716
Co -1.2274 -0.7087 10.0714
Co 0.0000 0.0000 8.1273
Co 0.0000 -1.4173 14.3172
Co -1.2274 0.7087 14.3172
Co 0.0000 0.0000 12.1943
Co 1.2274 -0.7087 10.0714
Co 0.0000 1.4173 10.0714
Co 0.0000 0.0000 16.2613
Co 1.2274 0.7087 14.3172
```


[3]
Computed, not measured: a PBEsol-optimized structure of FeMo3Se at the meta-GGA SCAN level of DFT.

Summary:
ΔE_f (raw) = 1.373 eV/atom

```
5
Lattice="4.5184 0.0000 0.0000 0.0000 4.5184 0.0000 0.0000 0.0000 4.5184" Properties=species:S:1:pos:R:3 pbc="T T T"
Fe 0.0000 0.0000 0.0000
Mo 0.0000 2.2592 2.2592
Mo 2.2592 0.0000 2.2592
Mo 2.2592 2.2592 0.0000
Se 2.2592 2.2592 2.2592
```


[4]
Computed, not measured: a PBEsol-optimized structure of In2Si2I at the meta-GGA SCAN level of DFT.

Summary:
ΔE_f (raw) = 0.292 eV/atom

```
5
Lattice="-2.4707 2.4707 4.9054 2.4707 -2.4707 4.9054 2.4707 2.4707 -4.9054" Properties=species:S:1:pos:R:3 pbc="T T T"
In 2.4707 0.0000 2.4527
In 0.0000 2.4707 2.4527
Si 0.0000 0.0000 1.1776
Si 0.0000 0.0000 8.6333
I 0.0000 0.0000 4.9054
```


[5]
Computed, not measured: a PBEsol-optimized structure of KSbPt2 at the meta-GGA SCAN level of DFT.

Summary:
ΔE_f (raw) = -0.366 eV/atom
polymorph energy (0 for the lowest one) = 12 kJ/mol of formula units

```
4
Lattice="3.9076 -2.2475 0.0000 3.9076 2.2475 0.0000 -2.6068 0.0000 6.0041" Properties=species:S:1:pos:R:3 pbc="T T T"
K 0.0000 0.0000 0.0000
Sb -0.0105 0.0000 3.4759
Pt 2.5967 0.0000 2.5075
Pt 5.1972 0.0000 2.4867
```


[6]
Computed, not measured: a PBEsol-optimized structure of Cr4TcAg at the meta-GGA SCAN level of DFT.

Summary:
energy of formation = 1.6 eV per formula unit

```
6
Lattice="0.0000 3.3420 3.3420 3.3420 0.0000 3.3420 3.3420 3.3420 0.0000" Properties=species:S:1:pos:R:3 pbc="T T T"
Cr 0.8261 0.8261 0.8261
Cr 2.5160 2.5160 0.8261
Cr 2.5160 0.8261 2.5160
Cr 0.8261 2.5160 2.5160
Tc 3.3420 3.3420 3.3420
Ag 5.0131 5.0131 5.0131
```


Quick rundown of electronic total energy, same order as above: -197.595, -285.854, -136.001, -122.088, -187.441, -138.357 eV per cell